Record 1
Fe2Au | GGA-PBE | optimized geometry

Cell and atoms, written as POSCAR:
```
Fe2Au
1.0
-2.443 2.445 3.463
2.443 -2.445 3.463
2.443 2.445 -3.463
Fe Au
4 2
Cartesian
1.222 1.223 1.731
-1.222 1.223 1.731
0.000 0.000 3.463
2.443 0.000 0.000
2.443 -1.223 2.600
0.000 3.668 0.863
```

Computed properties:
- Energy relative to the elements: 130 meV/atom
- Crystal system: orthorhombic

=====

Record 2
Y2Nb4As3C3 | GGA-PBE | optimized geometry

Cell and atoms, written as POSCAR:
```
Y2Nb4As3C3
1.0
5.120 -2.952 0.000
5.120 2.952 0.000
-3.413 0.000 12.755
As C Y Nb
6 6 4 8
Cartesian
6.148 -0.591 3.214
2.561 -2.657 9.567
0.679 0.591 9.541
4.442 0.591 9.592
2.386 -0.591 3.164
4.267 2.657 3.189
4.316 -1.561 6.375
0.854 -1.476 6.378
2.609 1.561 12.753
4.218 -1.561 0.002
2.512 1.561 6.380
2.560 1.476 0.000
4.226 0.469 4.991
2.519 -0.469 11.369
2.602 -0.469 7.764
4.308 0.469 1.387
0.886 0.469 5.250
-0.820 -0.469 11.628
7.672 0.531 5.252
5.941 -0.469 7.505
5.966 -0.531 11.630
-0.844 -0.531 7.503
0.862 0.531 1.125
7.647 0.469 1.128
```

Computed properties:
- Crystal system: monoclinic

=====

Record 3
Li2ReSn | GGA-PBE | optimized geometry

Cell and atoms, written as POSCAR:
```
Li2ReSn
1.0
0.000 3.164 3.164
3.164 0.000 3.164
3.164 3.164 0.000
Li Re Sn
2 1 1
Cartesian
4.747 4.747 4.747
0.000 0.000 0.000
1.582 1.582 1.582
3.164 3.164 3.164
```

Computed properties:
- Crystal system: cubic

=====

Record 4
Lu2ZrTc | GGA-PBE | optimized geometry

Cell and atoms, written as POSCAR:
```
Lu2ZrTc
1.0
2.533 0.371 4.267
-2.187 -1.206 4.304
1.393 -4.112 2.432
Zr Lu Tc
1 2 1
Cartesian
1.304 -3.709 8.253
0.870 -2.473 5.502
0.435 -1.236 2.751
0.000 0.000 0.000
```

Computed properties:
- Energy relative to the elements: 83 meV/atom
- Crystal system: cubic

=====

Record 5
K2ScNiCl6 | GGA-PBE | optimized geometry

Cell and atoms, written as POSCAR:
```
K2ScNiCl6
1.0
-5.535 1.585 3.980
-5.992 2.037 -2.990
-5.573 -4.234 0.090
Ni Sc Cl K
1 1 6 2
Cartesian
-8.550 -0.306 0.540
0.000 0.000 0.000
-10.049 -1.246 -1.170
-7.278 0.859 -1.215
-9.822 -1.471 2.295
-7.070 -2.259 0.316
-10.030 1.647 0.764
-7.051 0.634 2.250
-4.275 -0.153 0.270
-12.825 -0.459 0.810
```

Computed properties:
- Crystal system: cubic

=====

Record 6
AgMo2As | GGA-PBE | optimized geometry

Cell and atoms, written as POSCAR:
```
AgMo2As
1.0
0.000 3.197 3.197
3.197 0.000 3.197
3.197 3.197 0.000
As Mo Ag
1 2 1
Cartesian
3.197 3.197 3.197
0.000 0.000 0.000
4.795 4.795 4.795
1.598 1.598 1.598
```

Computed properties:
- Crystal system: cubic

=====

Record 7
Pr3Zr3Te2Os | GGA-PBE | optimized geometry

Cell and atoms, written as POSCAR:
```
Pr3Zr3Te2Os
1.0
8.393 0.000 0.000
-4.197 7.269 0.000
0.000 0.000 3.778
Te Zr Pr Os
2 3 3 1
Cartesian
4.197 2.423 1.889
0.000 4.846 1.889
-1.709 2.960 0.000
3.418 0.000 0.000
2.488 4.309 0.000
1.058 1.833 1.889
-3.139 5.436 1.889
6.277 0.000 1.889
0.000 0.000 0.000
```

Computed properties:
- Crystal system: hexagonal
- Relative energy among the computed polymorphs: 378 meV per atom

=====

Record 8
AcLuAu | GGA-PBE | optimized geometry

Cell and atoms, written as POSCAR:
```
AcLuAu
1.0
0.000 3.563 3.563
3.563 0.000 3.563
3.563 3.563 0.000
Lu Ac Au
1 1 1
Cartesian
0.000 0.000 0.000
1.782 1.782 1.782
5.345 5.345 5.345
```

Computed properties:
- Energy relative to the elements: 114 meV/atom
- Crystal system: cubic

=====

Record 9
HfZn2In | GGA-PBE | optimized geometry

Cell and atoms, written as POSCAR:
```
HfZn2In
1.0
0.000 3.360 3.360
3.360 0.000 3.360
3.360 3.360 0.000
In Zn Hf
1 2 1
Cartesian
3.360 3.360 3.360
0.000 0.000 0.000
5.040 5.040 5.040
1.680 1.680 1.680
```

Computed properties:
- Crystal system: cubic

=====

Record 10
Pr2GdCd3AgAu2 | GGA-PBE | optimized geometry

Cell and atoms, written as POSCAR:
```
Pr2GdCd3AgAu2
1.0
-1.927 -3.074 1.573
5.699 -4.935 -2.662
0.650 3.303 7.252
Pr Cd Au Ag Gd
2 3 2 1 1
Cartesian
0.266 1.346 2.957
2.325 -2.012 -1.084
3.907 -1.901 6.044
0.689 -1.962 1.982
5.200 -4.010 3.506
3.048 -3.700 1.475
1.402 -1.013 4.708
6.337 -1.629 4.581
3.756 -0.965 2.715
```

Computed properties:
- Energy relative to the elements: -571 meV/atom
- Crystal system: orthorhombic

=====

Record 11
UTe | GGA-PBE | optimized geometry

Cell and atoms, written as POSCAR:
```
UTe
1.0
2.064 -3.796 -0.510
-1.943 -3.264 -2.121
1.424 -1.190 -3.935
U Te
1 1
Cartesian
0.772 -4.125 -3.283
0.000 0.000 0.000
```

Computed properties:
- Crystal system: cubic

=====

Record 12
TbTm2Ga3CoGe2 | GGA-PBE | optimized geometry

Cell and atoms, written as POSCAR:
```
TbTm2Ga3CoGe2
1.0
-3.344 -1.996 1.313
0.937 -4.797 -4.908
2.913 -0.778 6.236
Ge Co Ga Tm Tb
2 1 3 2 1
Cartesian
0.583 -3.103 3.200
-0.084 -4.459 -0.562
0.013 -0.019 0.005
0.576 -1.606 5.460
-0.792 -2.273 0.960
-0.945 -4.700 -3.121
2.097 -5.104 -2.421
3.284 -2.689 4.277
2.307 -3.341 0.796
```

Computed properties:
- Crystal system: orthorhombic

=====

Record 13
RbTcAgO3 | GGA-PBE | optimized geometry

Cell and atoms, written as POSCAR:
```
RbTcAgO3
1.0
3.101 0.000 0.000
0.000 10.785 0.000
0.000 0.000 12.229
O Rb Ag Tc
12 4 4 4
Cartesian
2.326 7.524 8.294
2.326 3.268 6.548
0.775 7.516 5.681
0.775 8.661 11.796
2.326 5.291 5.106
0.775 3.261 3.935
0.775 10.683 1.009
0.775 2.131 10.050
2.326 8.653 2.179
0.775 5.494 7.123
2.326 0.102 11.221
2.326 2.124 0.433
0.775 6.514 3.073
2.326 1.122 3.041
0.775 9.663 9.188
2.326 4.271 9.156
0.775 6.439 11.861
2.326 4.345 0.369
2.326 1.047 6.483
0.775 9.738 5.746
0.775 4.034 5.502
0.775 1.358 11.617
2.326 9.426 0.612
2.326 6.751 6.727
```

Computed properties:
- Crystal system: orthorhombic

=====

Record 14
Pr2DyNi2B2N3 | GGA-PBE | optimized geometry

Cell and atoms, written as POSCAR:
```
Pr2DyNi2B2N3
1.0
-3.183 9.533 2.641
-6.934 7.733 -0.310
3.899 -9.591 0.894
N Pr B Ni Dy
3 2 2 2 1
Cartesian
-5.059 8.633 1.166
-1.198 2.044 0.276
-8.920 15.222 2.055
-3.798 6.481 0.875
-6.320 10.785 1.456
-8.190 13.977 1.887
-1.927 3.289 0.444
-4.047 3.388 0.875
-2.172 4.288 2.350
0.000 0.000 0.000
```

Computed properties:
- Crystal system: tetragonal

=====

Record 15
TmFeNiGe2 | GGA-PBE | optimized geometry

Cell and atoms, written as POSCAR:
```
TmFeNiGe2
1.0
4.980 -1.469 2.581
0.763 -5.108 2.636
-1.956 2.192 -4.999
Ge Tm Fe Ni
2 1 1 1
Cartesian
3.588 -4.108 3.258
2.156 -2.469 1.958
0.000 0.000 0.000
0.840 -3.102 0.122
2.948 -1.283 0.095
```

Computed properties:
- Crystal system: tetragonal

=====

It is found that the VASP energy values, taken in the order of the records, are -6.50 -8.54 -4.78 -6.91 -4.14 -6.72 -6.68 -3.85 -3.64 -3.49 -7.63 -5.03 -5.92 -7.43 -6.07 eV per atom.